This record from Alexandria describes a geometry-optimized Cu2AsO5 structure. The functional is PBE-GGA.

Cell: 3.8676 10.0670 9.2727 Å, 90.00 90.00 90.00°
Last column: nearest neighbours and their distance in Å.
Space group Cmcm (No. 63)
One atom of each set of equivalent atoms:
1 Cu 0.0000 0.1412 0.0778  4 O 1.91-1.97
2 As 0.0000 0.1975 0.7500  4 O 1.78-1.90
3 O 0.0000 0.0724 0.6145  1 As 1.78, 1 Cu 1.91
4 O 0.0000 0.2511 0.2500  2 Cu 1.94, 2 As 2.00
5 O 0.0000 0.3262 0.6005  1 As 1.90, 2 Cu 1.97

- formation energy (no corrections) (eV/f.u.) = -5.7
- relative energy among the computed polymorphs (eV per formula unit) = 0.19

=====

This record from Alexandria describes a geometry-optimized Cu2AsO structure. The functional is PBE-GGA.

Cell: 5.4333 5.4333 7.9297 Å, 90.00 90.00 90.00°
Last column: nearest neighbours and their distance in Å.
Space group I-42d (No. 122)
One atom of each set of equivalent atoms:
1 Cu 0.1864 0.2500 0.1250  2 O 1.96
2 As 0.0000 0.0000 0.5000  4 Cu 2.39
3 O 0.0000 0.0000 0.0000  4 Cu 1.96

- formation energy (no corrections) (eV/f.u.) = -0.6
- relative energy among the computed polymorphs (eV per formula unit) = 0.00

=====

This record from Alexandria describes a geometry-optimized CuAs3O9 structure. The functional is PBE-GGA.

Cell: 8.7740 10.0546 7.4361 Å, 90.00 90.00 90.00°
Last column: nearest neighbours and their distance in Å.
Space group C222_1 (No. 20)
One atom of each set of equivalent atoms:
1 Cu 0.1855 0.0000 0.0000  4 O 1.95-2.10
2 As 0.0095 0.3017 0.4650  4 O 1.69-1.77
3 As 0.2214 0.0000 0.5000  4 O 1.72-1.84
4 O 0.0000 0.3762 0.2500  2 As 1.77
5 O 0.0054 0.1328 0.0454  1 As 1.70
6 O 0.1455 0.3714 0.9223  2 As 1.74-1.84
7 O 0.1718 0.0538 0.7117  1 As 1.72
8 O 0.1750 0.3545 0.5567  1 As 1.69

- formation energy (no corrections) (eV/f.u.) = -10.3

=====

This record from Alexandria describes a geometry-optimized CuAs2O6 structure. The functional is PBE-GGA.

Cell: 10.3610 9.1376 5.4014 Å, 90.00 109.58 90.00°
Last column: nearest neighbours and their distance in Å.
Space group C2/c (No. 15)
One atom of each set of equivalent atoms:
1 Cu 0.0000 0.1030 0.2500  6 O 2.02-2.18
2 As 0.2171 0.4033 0.2582  4 O 1.67-1.78
3 O 0.1089 0.0737 0.6345  1 As 1.71
4 O 0.1393 0.4974 0.4611  2 As 1.78
5 O 0.1553 0.2325 0.2073  1 As 1.67

- formation energy (no corrections) (eV/f.u.) = -8.6
- relative energy among the computed polymorphs (eV per formula unit) = 0.23

=====

This record from Alexandria describes a geometry-optimized Cu2AsO4 structure. The functional is PBE-GGA.

Cell: 10.1709 2.9391 5.4145 Å, 90.00 110.12 90.00°
Last column: nearest neighbours and their distance in Å.
Space group C2/m (No. 12)
One atom of each set of equivalent atoms:
1 Cu 0.1368 0.0000 0.0813  3 O 1.94-1.98
2 As 0.0000 0.5000 0.5000  6 O 1.85-1.94
3 O 0.0987 0.0000 0.4082  1 Cu 1.94, 2 As 1.94
4 O 0.1341 0.5000 0.8332  1 As 1.85, 2 Cu 1.98

- formation energy (no corrections) (eV/f.u.) = -5.1
- relative energy among the computed polymorphs (eV per formula unit) = 0.00

=====

This record from Alexandria describes a geometry-optimized CuAs2O6 structure. The functional is PBE-GGA.

Cell: 4.8648 4.8648 4.5364 Å, 90.00 90.00 120.00°
Last column: nearest neighbours and their distance in Å.
Space group P-31m (No. 162)
One atom of each set of equivalent atoms:
1 Cu 0.0000 0.0000 0.0000  6 O 2.16
2 As 0.3333 0.6667 0.5000  6 O 1.86
3 O 0.0000 0.3628 0.2738  2 As 1.86

- formation energy (no corrections) (eV/f.u.) = -8.8
- relative energy among the computed polymorphs (eV per formula unit) = 0.00

=====

This record from Alexandria describes a geometry-optimized Cu2AsO5 structure. The functional is PBE-GGA.

Cell: 13.1857 7.4802 9.7602 Å, 90.00 123.05 90.00°
Last column: nearest neighbours and their distance in Å.
Space group C2/c (No. 15)
One atom of each set of equivalent atoms:
1 Cu 0.0449 0.2284 0.0016  4 O 1.89-1.95
2 Cu 0.1323 0.3547 0.3353  4 O 1.86-1.99
3 As 0.1927 0.1063 0.8388  4 O 1.72-1.77
4 O 0.0112 0.3397 0.3777  3 Cu 1.86-1.90
5 O 0.0799 0.0630 0.6379  1 As 1.73, 1 Cu 1.91
6 O 0.1303 0.2747 0.8930  1 As 1.74
7 O 0.1896 0.3257 0.1859  1 As 1.77, 1 Cu 1.91
8 O 0.2258 0.0872 0.4499  1 As 1.72

- formation energy (no corrections) (eV/f.u.) = -5.9
- relative energy among the computed polymorphs (eV per formula unit) = 0.00

=====

This record from Alexandria describes a geometry-optimized CuAs2O structure. The functional is PBE-GGA.

Cell: 5.0064 5.0064 11.1513 Å, 90.00 90.00 90.00°
Last column: nearest neighbours and their distance in Å.
Space group I-42d (No. 122)
One atom of each set of equivalent atoms:
1 Cu 0.0000 0.0000 0.0000  4 As 2.34
2 As 0.2203 0.2500 0.6250  2 O 2.17, 2 Cu 2.34
3 O 0.0000 0.0000 0.5000  4 As 2.17

- formation energy (no corrections) (eV/f.u.) = 0.3

=====

This record from Alexandria describes a geometry-optimized Cu5As2O10 structure. The functional is PBE-GGA.

Cell: 5.2383 6.3128 6.3921 Å, 100.50 95.47 94.65°
Last column: nearest neighbours and their distance in Å.
Space group P-1 (No. 2)
One atom of each set of equivalent atoms:
1 Cu 0.0000 0.0000 0.0000  4 O 1.92-1.97
2 Cu 0.1433 0.6613 0.2208  4 O 1.93-2.06
3 Cu 0.2523 0.1231 0.5480  4 O 1.92-2.07
4 As 0.4035 0.6618 0.7696  4 O 1.72-1.75
5 O 0.0191 0.9425 0.2860  4 Cu 1.92-2.07
6 O 0.1900 0.4354 0.6652  1 As 1.73
7 O 0.2838 0.8126 0.9902  1 As 1.75
8 O 0.2914 0.3910 0.1465  1 As 1.72
9 O 0.4223 0.8142 0.5681  1 As 1.75

- formation energy (no corrections) (eV/f.u.) = -13.4

=====

This record from Alexandria describes a geometry-optimized CuAsOsO6 structure. The functional is PBE-GGA.

Cell: 5.0568 5.0568 8.9276 Å, 90.00 90.00 120.00°
Last column: nearest neighbours and their distance in Å.
Space group P-31c (No. 163)
One atom of each set of equivalent atoms:
1 Cu 0.0000 0.0000 0.0000  6 O 2.17
2 As 0.3333 0.6667 0.2500  6 O 1.91
3 Os 0.3333 0.6667 0.7500  6 O 1.94
4 O 0.0041 0.3614 0.1336  1 As 1.91, 1 Os 1.94

- formation energy (no corrections) (eV/f.u.) = -8.0

=====

This record from Alexandria describes a geometry-optimized CuAsP2O structure. The functional is PBE-GGA.

Cell: 4.6550 4.6550 3.5555 Å, 90.00 90.00 90.00°
Last column: nearest neighbours and their distance in Å.
Space group P4/mmm (No. 123)
One atom of each set of equivalent atoms:
1 Cu 0.0000 0.0000 0.0000  2 O 1.78
2 As 0.5000 0.5000 0.5000  8 P 2.93
3 P 0.0000 0.5000 0.0000  2 Cu 2.33
4 O 0.0000 0.0000 0.5000  2 Cu 1.78

- formation energy (no corrections) (eV/f.u.) = 2.5
- relative energy among the computed polymorphs (eV per formula unit) = 0.00

=====

This record from Alexandria describes a geometry-optimized CuAsP2O structure. The functional is PBE-GGA.

Cell: 4.8213 4.8213 3.5452 Å, 90.00 90.00 90.00°
Last column: nearest neighbours and their distance in Å.
Space group P4/mmm (No. 123)
One atom of each set of equivalent atoms:
1 Cu 0.0000 0.0000 0.0000  8 P 2.99
2 As 0.5000 0.5000 0.5000  2 O 1.77
3 P 0.0000 0.5000 0.5000  2 As 2.41
4 O 0.5000 0.5000 0.0000  2 As 1.77

- formation energy (no corrections) (eV/f.u.) = 2.9
- relative energy among the computed polymorphs (eV per formula unit) = 0.39

=====

This record from Alexandria describes a geometry-optimized PaCu2AsO6 structure. The functional is PBE-GGA.

Cell: 5.8490 5.8490 4.2338 Å, 90.00 90.00 90.00°
Last column: nearest neighbours and their distance in Å.
Space group P4mm (No. 99)
One atom of each set of equivalent atoms:
1 Pa 0.0000 0.0000 0.0000  6 O 2.07-2.25
2 Cu 0.0000 0.5000 0.1250  4 O 2.10
3 As 0.5000 0.5000 0.9417  1 O 1.67
4 O 0.0000 0.0000 0.5105  2 Pa 2.07-2.16
5 O 0.2703 0.2703 0.0488  1 As 1.95, 2 Cu 2.10
6 O 0.5000 0.5000 0.5464  1 As 1.67

- formation energy (no corrections) (eV/f.u.) = -15.0

=====

This record from Alexandria describes a geometry-optimized PaCuAsO6 structure. The functional is PBE-GGA.

Cell: 5.3632 5.3632 8.7334 Å, 90.00 90.00 120.00°
Last column: nearest neighbours and their distance in Å.
Space group P-31c (No. 163)
One atom of each set of equivalent atoms:
1 Pa 0.3333 0.6667 0.2500  6 O 2.20
2 Cu 0.0000 0.0000 0.0000  6 O 2.20
3 As 0.3333 0.6667 0.7500  6 O 1.88
4 O 0.0449 0.3710 0.6309  1 As 1.88

- formation energy (no corrections) (eV/f.u.) = -15.5

=====

This record from Alexandria describes a geometry-optimized PaCu2As2O7 structure. The functional is PBE-GGA.

Cell: 5.3605 5.3605 25.6971 Å, 90.00 90.00 120.00°
Last column: nearest neighbours and their distance in Å.
Space group R32 (No. 155, hexagonal axes)
One atom of each set of equivalent atoms:
1 Pa 0.0000 0.0000 0.0000  6 O 2.24
2 Cu 0.0000 0.0000 0.2780  3 O 1.96
3 As 0.0000 0.0000 0.4243  4 O 1.91-1.94
4 O 0.0000 0.0000 0.5000  2 As 1.94
5 O 0.0081 0.3696 0.2784  1 As 1.91, 1 Cu 1.96

- formation energy (no corrections) (eV/f.u.) = -16.8

=====

This record from Alexandria describes a geometry-optimized PaCuAsO5 structure. The functional is PBE-GGA.

Cell: 7.5772 9.1783 7.3087 Å, 90.00 113.67 90.00°
Last column: nearest neighbours and their distance in Å.
Space group C2/c (No. 15)
One atom of each set of equivalent atoms:
1 Pa 0.0000 0.0260 0.2500  3 O 2.09-2.10
2 Cu 0.2500 0.2500 0.0000  4 O 1.90-2.08
3 As 0.0000 0.4036 0.2500  2 O 1.78
4 O 0.0000 0.2028 0.7500  2 Cu 2.08, 1 Pa 2.10
5 O 0.0922 0.2622 0.1469  1 As 1.78, 1 Cu 1.90
6 O 0.1924 0.0197 0.5491  1 Pa 2.09, 1 As 2.31

- formation energy (no corrections) (eV/f.u.) = -15.0

=====

This record from Alexandria describes a geometry-optimized Cu4As3PbO12 structure. The functional is PBE-GGA.

Cell: 5.3174 8.5258 11.5406 Å, 89.73 89.58 86.15°
Last column: nearest neighbours and their distance in Å.
Space group P-1 (No. 2)
One atom of each set of equivalent atoms:
1 Cu 0.0000 0.0000 0.0000  4 O 1.93-2.02
2 Cu 0.0000 0.5000 0.5000  4 O 1.98
3 Cu 0.2306 0.0376 0.5190  2 O 1.88-1.91
4 Cu 0.4675 0.0844 0.8219  4 O 1.94-2.13
5 Cu 0.4947 0.7142 0.6672  5 O 1.99-2.16
6 As 0.0076 0.1012 0.2659  4 O 1.73-1.74
7 As 0.4624 0.7285 0.9471  4 O 1.72-1.78
8 As 0.4698 0.6633 0.3892  4 O 1.71-1.75
9 Pb 0.0021 0.5428 0.1690  6 O 2.53-2.74
10 O 0.1416 0.7127 0.7339  1 As 1.73
11 O 0.1696 0.0261 0.1448  1 As 1.74, 1 Cu 1.93
12 O 0.2047 0.0315 0.6840  1 As 1.74, 1 Cu 1.91
13 O 0.2101 0.3898 0.6200  1 As 1.73
14 O 0.2278 0.6080 0.9834  1 As 1.72
15 O 0.2513 0.1093 0.3652  1 As 1.74, 1 Cu 1.88
16 O 0.2986 0.4946 0.3968  1 As 1.75
17 O 0.3125 0.9155 0.9137  1 As 1.78
18 O 0.3294 0.2474 0.9420  1 As 1.72
19 O 0.3705 0.7521 0.2625  1 As 1.71
20 O 0.3742 0.3405 0.1756  1 As 1.74
21 O 0.3868 0.7832 0.5075  1 As 1.75

- formation energy (no corrections) (eV/f.u.) = -19.2
- relative energy among the computed polymorphs (eV per formula unit) = 0.00